1.
Here is a geometry-optimized SrIrI structure from the Alexandria database. Energies are from PBE-GGA.

Values from the calculation:
The space group is No. 1. The total DFT energy (no corrections) is -4.70 eV/atom. As for the uncorrected formation energy: -0.671 eV per atom.

Structure (POSCAR):
```
SrIrI
1.0
-0.362 -9.401 -10.069
0.157 -3.409 2.384
-3.661 -1.367 1.453
Ir I Sr
2 2 2
direct
0.268 0.248 0.552
0.298 0.862 0.191
0.931 0.773 0.797
0.634 0.332 0.953
0.084 0.033 0.190
0.482 0.071 0.559
```

***

2.
Here is a geometry-optimized SrTe2IrI structure from the Alexandria database. Energies are from PBE-GGA.

Values from the calculation:
The space group is No. 123. The total DFT energy (no corrections) is -4.01 eV/atom. As for the uncorrected formation energy: -0.330 eV per atom.

Structure (POSCAR):
```
SrTe2IrI
1.0
-1.504 -2.567 4.461
0.880 -4.707 -2.412
5.223 0.057 1.794
Ir Te Sr I
1 2 1 1
direct
0.000 0.000 0.000
0.500 0.000 0.000
0.000 0.500 0.000
0.500 0.500 0.500
0.000 0.000 0.500
```

***

3.
Here is a geometry-optimized SrTeIrI2 structure from the Alexandria database. Energies are from PBE-GGA.

Values from the calculation:
The space group is No. 123. The total DFT energy (no corrections) is -3.74 eV/atom. As for the uncorrected formation energy: -0.379 eV per atom.

Structure (POSCAR):
```
SrTeIrI2
1.0
-4.437 -2.565 1.881
2.958 -2.142 4.058
-1.164 4.300 3.119
Ir Te I Sr
1 1 2 1
direct
0.000 0.000 0.000
0.000 0.000 0.500
0.500 0.000 0.000
0.000 0.500 0.000
0.500 0.500 0.500
```

***

4.
Here is a geometry-optimized SrTe2IrI structure from the Alexandria database. Energies are from PBE-GGA.

Values from the calculation:
The space group is No. 123. The total DFT energy (no corrections) is -2.55 eV/atom. As for the uncorrected formation energy: 1.130 eV per atom.

Structure (POSCAR):
```
SrTe2IrI
1.0
6.197 0.000 0.000
0.000 6.197 0.000
0.000 0.000 6.087
Te I Sr Ir
2 1 1 1
direct
0.500 0.000 0.000
0.000 0.500 0.000
0.000 0.000 0.500
0.000 0.000 0.000
0.500 0.500 0.500
```

***

> Which value of total DFT energy (no corrections) does entry 4 give?

-2.55 eV/atom

***

> Number 4 is which compound?

SrTe2IrI

***

Copy entry 2 word for word.
Here is a geometry-optimized SrTe2IrI structure from the Alexandria database. Energies are from PBE-GGA.

Values from the calculation:
The space group is No. 123. The total DFT energy (no corrections) is -4.01 eV/atom. As for the uncorrected formation energy: -0.330 eV per atom.

Structure (POSCAR):
```
SrTe2IrI
1.0
-1.504 -2.567 4.461
0.880 -4.707 -2.412
5.223 0.057 1.794
Ir Te Sr I
1 2 1 1
direct
0.000 0.000 0.000
0.500 0.000 0.000
0.000 0.500 0.000
0.500 0.500 0.500
0.000 0.000 0.500
```